A relaxed structure of SrMgCrO2, computed with PBE+U.

Summary:
**V**: 130 Å³ per cell
**Energy**: -4.18 eV/atom
**Space-group type**: P4/mmm, No. 123

a b c (Å): 4.6022 4.6022 6.1282
angles (deg): 90.00 90.00 90.00
Closest atoms and distances in Å follow each position.
Fractional positions:
Sr 0.0000 0.0000 0.0000  4 O 2.30
Mg 0.5000 0.5000 0.5000  4 Cr 3.25
Cr 0.0000 0.0000 0.5000  2 Sr 3.06, 4 Mg 3.25
O 0.0000 0.5000 0.0000  2 Sr 2.30
O 0.5000 0.0000 0.0000  2 Sr 2.30